# Pm2MnAlO6

A relaxed Pm2MnAlO6 crystal (PBE with a Hubbard U, Alexandria).

DOS at the Fermi energy (states/eV per atom): 0.14
DFT total energy (eV per formula unit): -78.2

Structure (CIF):
```
data_Pm2MnAlO6
_chemical_formula_sum 'Pm2 Mn1 Al1 O6'
_symmetry_space_group_name_H-M 'P 1'
_symmetry_Int_Tables_number 1
_cell_length_a 5.412
_cell_length_b 5.412
_cell_length_c 3.848
_cell_angle_alpha 90.00
_cell_angle_beta 90.00
_cell_angle_gamma 90.00
loop_
_symmetry_equiv_pos_as_xyz
'x,y,z'
loop_
_atom_site_label
_atom_site_fract_x
_atom_site_fract_y
_atom_site_fract_z
Pm1 0.000 0.500 0.000
Pm2 0.500 0.000 0.000
Mn1 0.000 0.000 0.500
Al1 0.500 0.500 0.500
O1 0.000 0.000 0.000
O2 0.257 0.257 0.500
O3 0.257 0.743 0.500
O4 0.500 0.500 0.000
O5 0.743 0.257 0.500
O6 0.743 0.743 0.500
```


# Pr3MnAl2O9

A relaxed Pr3MnAl2O9 crystal (PBE with a Hubbard U, Alexandria).

DOS at the Fermi energy (states/eV per atom): 0.30
DFT total energy (eV per formula unit): -116.6

Structure (CIF):
```
data_Pr3MnAl2O9
_chemical_formula_sum 'Pr3 Mn1 Al2 O9'
_symmetry_space_group_name_H-M 'P 1'
_symmetry_Int_Tables_number 1
_cell_length_a 5.384
_cell_length_b 5.384
_cell_length_c 6.614
_cell_angle_alpha 90.00
_cell_angle_beta 90.00
_cell_angle_gamma 120.00
loop_
_symmetry_equiv_pos_as_xyz
'x,y,z'
loop_
_atom_site_label
_atom_site_fract_x
_atom_site_fract_y
_atom_site_fract_z
Pr1 0.000 0.000 0.000
Pr2 0.333 0.667 0.663
Pr3 0.667 0.333 0.337
Mn1 0.000 0.000 0.500
Al1 0.333 0.667 0.161
Al2 0.667 0.333 0.839
O1 0.000 0.500 0.000
O2 0.169 0.339 0.330
O3 0.169 0.831 0.330
O4 0.339 0.169 0.670
O5 0.500 0.000 0.000
O6 0.500 0.500 0.000
O7 0.661 0.831 0.330
O8 0.831 0.169 0.670
O9 0.831 0.661 0.670
```


# PuMn2AlO6

A relaxed PuMn2AlO6 crystal (PBE with a Hubbard U, Alexandria).

DFT total energy (eV per formula unit): -84.7

Structure (CIF):
```
data_PuMn2AlO6
_chemical_formula_sum 'Pu1 Mn2 Al1 O6'
_symmetry_space_group_name_H-M 'P 1'
_symmetry_Int_Tables_number 1
_cell_length_a 5.672
_cell_length_b 5.672
_cell_length_c 5.672
_cell_angle_alpha 54.80
_cell_angle_beta 54.80
_cell_angle_gamma 54.80
loop_
_symmetry_equiv_pos_as_xyz
'x,y,z'
loop_
_atom_site_label
_atom_site_fract_x
_atom_site_fract_y
_atom_site_fract_z
Pu1 0.000 0.000 0.000
Mn1 0.276 0.276 0.276
Mn2 0.803 0.803 0.803
Al1 0.485 0.485 0.485
O1 0.093 0.681 0.431
O2 0.212 0.594 0.851
O3 0.431 0.093 0.681
O4 0.594 0.851 0.212
O5 0.681 0.431 0.093
O6 0.851 0.212 0.594
```


# Rb2MnAlO4

A relaxed Rb2MnAlO4 crystal (PBE with a Hubbard U, Alexandria).

DFT total energy (eV per formula unit): -48.0

Structure (CIF):
```
data_Rb2MnAlO4
_chemical_formula_sum 'Rb4 Mn2 Al2 O8'
_symmetry_space_group_name_H-M 'P 1'
_symmetry_Int_Tables_number 1
_cell_length_a 11.836
_cell_length_b 10.381
_cell_length_c 6.780
_cell_angle_alpha 84.44
_cell_angle_beta 60.80
_cell_angle_gamma 34.76
loop_
_symmetry_equiv_pos_as_xyz
'x,y,z'
loop_
_atom_site_label
_atom_site_fract_x
_atom_site_fract_y
_atom_site_fract_z
Rb1 0.054 0.054 0.696
Rb2 0.304 0.304 0.946
Rb3 0.696 0.696 0.054
Rb4 0.946 0.946 0.304
Mn1 0.375 0.375 0.375
Mn2 0.625 0.625 0.625
Al1 0.125 0.125 0.125
Al2 0.875 0.875 0.875
O1 0.018 0.306 0.406
O2 0.230 0.594 0.694
O3 0.306 0.018 0.770
O4 0.406 0.770 0.018
O5 0.594 0.230 0.982
O6 0.694 0.982 0.230
O7 0.770 0.406 0.306
O8 0.982 0.694 0.594
```


# MnAlReO6

A relaxed MnAlReO6 crystal (PBE with a Hubbard U, Alexandria).

DFT total energy (eV per formula unit): -70.9

Structure (CIF):
```
data_MnAlReO6
_chemical_formula_sum 'Mn2 Al2 Re2 O12'
_symmetry_space_group_name_H-M 'P 1'
_symmetry_Int_Tables_number 1
_cell_length_a 4.993
_cell_length_b 4.993
_cell_length_c 9.342
_cell_angle_alpha 90.00
_cell_angle_beta 90.00
_cell_angle_gamma 120.00
loop_
_symmetry_equiv_pos_as_xyz
'x,y,z'
loop_
_atom_site_label
_atom_site_fract_x
_atom_site_fract_y
_atom_site_fract_z
Mn1 0.000 0.000 0.000
Mn2 0.000 0.000 0.500
Al1 0.333 0.667 0.250
Al2 0.667 0.333 0.750
Re1 0.333 0.667 0.750
Re2 0.667 0.333 0.250
O1 0.001 0.363 0.638
O2 0.001 0.638 0.862
O3 0.362 0.363 0.862
O4 0.362 0.999 0.638
O5 0.363 0.001 0.138
O6 0.363 0.362 0.362
O7 0.637 0.638 0.638
O8 0.637 0.999 0.862
O9 0.638 0.001 0.362
O10 0.638 0.637 0.138
O11 0.999 0.362 0.138
O12 0.999 0.637 0.362
```


# Mn2AlSbO6

A relaxed Mn2AlSbO6 crystal (PBE with a Hubbard U, Alexandria).

DOS at the Fermi energy (states/eV per atom): 0.00
DFT total energy (eV per formula unit): -71.7

Structure (CIF):
```
data_Mn2AlSbO6
_chemical_formula_sum 'Mn4 Al2 Sb2 O12'
_symmetry_space_group_name_H-M 'P 1'
_symmetry_Int_Tables_number 1
_cell_length_a 5.226
_cell_length_b 5.369
_cell_length_c 9.176
_cell_angle_alpha 90.00
_cell_angle_beta 124.27
_cell_angle_gamma 90.00
loop_
_symmetry_equiv_pos_as_xyz
'x,y,z'
loop_
_atom_site_label
_atom_site_fract_x
_atom_site_fract_y
_atom_site_fract_z
Mn1 0.234 0.049 0.248
Mn2 0.234 0.451 0.748
Mn3 0.766 0.549 0.252
Mn4 0.766 0.951 0.752
Al1 0.000 0.000 0.500
Al2 0.000 0.500 0.000
Sb1 0.500 0.000 0.000
Sb2 0.500 0.500 0.500
O1 0.130 0.203 0.941
O2 0.130 0.297 0.441
O3 0.240 0.694 0.940
O4 0.240 0.806 0.440
O5 0.359 0.046 0.746
O6 0.359 0.454 0.246
O7 0.641 0.546 0.754
O8 0.641 0.954 0.254
O9 0.760 0.194 0.560
O10 0.760 0.306 0.060
O11 0.870 0.703 0.559
O12 0.870 0.797 0.059
```


# MnAlSi2O6

A relaxed MnAlSi2O6 crystal (PBE with a Hubbard U, Alexandria).

DOS at the Fermi energy (states/eV per atom): 0.05
DFT total energy (eV per formula unit): -76.0

Structure (CIF):
```
data_MnAlSi2O6
_chemical_formula_sum 'Mn2 Al2 Si4 O12'
_symmetry_space_group_name_H-M 'P 1'
_symmetry_Int_Tables_number 1
_cell_length_a 7.310
_cell_length_b 7.310
_cell_length_c 5.453
_cell_angle_alpha 109.19
_cell_angle_beta 109.19
_cell_angle_gamma 81.90
loop_
_symmetry_equiv_pos_as_xyz
'x,y,z'
loop_
_atom_site_label
_atom_site_fract_x
_atom_site_fract_y
_atom_site_fract_z
Mn1 0.139 0.861 0.750
Mn2 0.861 0.139 0.250
Al1 0.203 0.797 0.250
Al2 0.797 0.203 0.750
Si1 0.201 0.387 0.814
Si2 0.387 0.201 0.314
Si3 0.613 0.799 0.686
Si4 0.799 0.613 0.186
O1 0.020 0.691 0.323
O2 0.202 0.624 0.929
O3 0.306 0.317 0.573
O4 0.309 0.980 0.177
O5 0.317 0.306 0.073
O6 0.376 0.798 0.571
O7 0.624 0.202 0.429
O8 0.683 0.694 0.927
O9 0.691 0.020 0.823
O10 0.694 0.683 0.427
O11 0.798 0.376 0.071
O12 0.980 0.309 0.677
```


# MnAlSiO5

A relaxed MnAlSiO5 crystal (PBE with a Hubbard U, Alexandria).

DOS at the Fermi energy (states/eV per atom): 0.00
DFT total energy (eV per formula unit): -61.4

Structure (CIF):
```
data_MnAlSiO5
_chemical_formula_sum 'Mn4 Al4 Si4 O20'
_symmetry_space_group_name_H-M 'P 1'
_symmetry_Int_Tables_number 1
_cell_length_a 8.097
_cell_length_b 8.202
_cell_length_c 5.732
_cell_angle_alpha 90.00
_cell_angle_beta 90.00
_cell_angle_gamma 90.00
loop_
_symmetry_equiv_pos_as_xyz
'x,y,z'
loop_
_atom_site_label
_atom_site_fract_x
_atom_site_fract_y
_atom_site_fract_z
Mn1 0.000 0.000 0.245
Mn2 0.000 0.000 0.755
Mn3 0.500 0.500 0.255
Mn4 0.500 0.500 0.745
Al1 0.124 0.363 0.000
Al2 0.376 0.863 0.500
Al3 0.624 0.137 0.500
Al4 0.876 0.637 0.000
Si1 0.250 0.245 0.500
Si2 0.250 0.745 0.000
Si3 0.750 0.255 0.000
Si4 0.750 0.755 0.500
O1 0.073 0.140 0.000
O2 0.074 0.139 0.500
O3 0.105 0.601 0.000
O4 0.249 0.855 0.238
O5 0.249 0.855 0.762
O6 0.251 0.355 0.262
O7 0.251 0.355 0.738
O8 0.395 0.101 0.500
O9 0.426 0.639 0.000
O10 0.427 0.640 0.500
O11 0.573 0.360 0.500
O12 0.574 0.361 0.000
O13 0.605 0.899 0.500
O14 0.749 0.645 0.262
O15 0.749 0.645 0.738
O16 0.751 0.145 0.238
O17 0.751 0.145 0.762
O18 0.895 0.399 0.000
O19 0.926 0.861 0.500
O20 0.927 0.860 0.000
```


- Which of these has the highest DFT total energy?
  Rb2MnAlO4


- What is the DFT total energy in the first record?
  -78.2 eV per formula unit


- DFT total energy of number 7 (MnAlSi2O6)?
  -76.0 eV per formula unit